Below is an optimized crystal structure of HoSc4CuS8, with properties calculated at the PBE level.

Structure (extended XYZ):
```
14
Lattice="-4.228 2.965 -5.484 -7.390 1.000 1.064 -2.772 7.060 0.780" Properties=species:S:1:pos:R:3 pbc="T T T"
Ho -2.782 7.005 0.759
Sc -7.616 3.318 -2.682
Sc -4.992 4.070 0.876
Sc -3.485 5.006 -2.245
Sc -1.471 3.593 0.368
Cu -6.781 7.670 -0.972
S -8.714 6.702 -0.006
S -7.115 7.695 -3.316
S -4.978 6.196 -0.544
S -3.584 2.824 -0.883
S -5.623 4.356 -3.656
S -7.264 3.336 -0.258
S -9.459 4.875 -3.104
S -10.823 8.108 -2.792
```

The space group is R3m, No. 160. The uncorrected formation energy comes out at -1.7156 eV per atom. As for the total magnetization: 0.00 μB per formula unit.